Entry 1:
This record from Alexandria via LeMat-Bulk describes a relaxed Co2MoAs crystal. The functional is PBE.

Calculated values
Formation enthalpy at 0 K ... 0.08 eV/atom
N(E_F) ... 6.73 states/eV per cell

```
data_Co2MoAs
_chemical_formula_sum 'Co4 Mo2 As2'
_cell_length_a 8.276
_cell_length_b 2.767
_cell_length_c 4.591
_cell_angle_alpha 90.00
_cell_angle_beta 97.15
_cell_angle_gamma 90.00
_symmetry_space_group_name_H-M 'C 1 m 1'
_symmetry_Int_Tables_number 8
loop_
_symmetry_equiv_pos_as_xyz
'x,y,z'
'x,-y,z'
'x+1/2,y+1/2,z'
'x+1/2,-y+1/2,z'
loop_
_atom_site_label
_atom_site_fract_x
_atom_site_fract_y
_atom_site_fract_z
_atom_site_occupancy
Co1 0.000 0.000 0.000 1
Co2 0.241 0.500 0.277 1
Mo1 0.484 0.000 0.483 1
As1 0.259 0.000 0.846 1
```

---

Entry 2:
This record from Alexandria via LeMat-Bulk describes a relaxed LaHg2Se crystal. The functional is PBE.

Calculated values
N(E_F) ... 2.33 states/eV per cell
Formation energy without anion corrections ... -0.820 eV/atom

```
data_LaHg2Se
_chemical_formula_sum 'La1 Hg2 Se1'
_cell_length_a 4.031
_cell_length_b 4.031
_cell_length_c 7.066
_cell_angle_alpha 90.00
_cell_angle_beta 90.00
_cell_angle_gamma 90.00
_symmetry_space_group_name_H-M 'P 4 m m'
_symmetry_Int_Tables_number 99
loop_
_symmetry_equiv_pos_as_xyz
'x,y,z'
'-y,x,z'
'-x,-y,z'
'y,-x,z'
'-x,y,z'
'y,x,z'
'x,-y,z'
'-y,-x,z'
loop_
_atom_site_label
_atom_site_fract_x
_atom_site_fract_y
_atom_site_fract_z
_atom_site_occupancy
La1 0.000 0.000 0.000 1
Hg1 0.000 0.000 0.481 1
Hg2 0.500 0.500 0.675 1
Se1 0.500 0.500 0.138 1
```

---

Entry 3:
This record from Alexandria via LeMat-Bulk describes a relaxed Ac2SmTc2N6 crystal. The functional is PBE.

Calculated values
N(E_F) ... 10.06 states/eV per cell
Formation energy without anion corrections ... -0.690 eV/atom

```
data_Ac2SmTc2N6
_chemical_formula_sum 'Ac6 Sm3 Tc6 N18'
_cell_length_a 5.8924
_cell_length_b 5.8924
_cell_length_c 18.7542
_cell_angle_alpha 90.00
_cell_angle_beta 90.00
_cell_angle_gamma 120.00
_symmetry_space_group_name_H-M 'R -3 m'
_symmetry_Int_Tables_number 166
_symmetry_space_group_name_Hall '-R 3 2"'
loop_
_atom_site_label
_atom_site_fract_x
_atom_site_fract_y
_atom_site_fract_z
_atom_site_occupancy
Ac1 0.0000 0.0000 0.2116 1
Sm1 0.0000 0.0000 0.0000 1
Tc1 0.0000 0.0000 0.4021 1
N1 0.0054 0.5027 0.7625 1
```

---

Entry 4:
This record from Alexandria via LeMat-Bulk describes a relaxed Th2Ga3NiIr4 crystal. The functional is PBE.

Calculated values
Formation enthalpy at 0 K ... -0.66 eV/atom
N(E_F) ... 8.48 states/eV per cell

```
data_Th2Ga3NiIr4
_chemical_formula_sum 'Th2 Ga3 Ni1 Ir4'
_cell_length_a 4.184
_cell_length_b 4.184
_cell_length_c 10.538
_cell_angle_alpha 90.00
_cell_angle_beta 90.00
_cell_angle_gamma 90.00
_symmetry_space_group_name_H-M 'P -4 m 2'
_symmetry_Int_Tables_number 115
loop_
_symmetry_equiv_pos_as_xyz
'x,y,z'
'y,-x,-z'
'-x,-y,z'
'-y,x,-z'
'-x,y,z'
'-y,-x,-z'
'x,-y,z'
'y,x,-z'
loop_
_atom_site_label
_atom_site_fract_x
_atom_site_fract_y
_atom_site_fract_z
_atom_site_occupancy
Th1 0.000 0.500 0.250 1
Ga1 0.000 0.000 0.000 1
Ga2 0.000 0.500 0.627 1
Ni1 0.500 0.500 0.000 1
Ir1 0.000 0.000 0.500 1
Ir2 0.000 0.500 0.860 1
Ir3 0.500 0.500 0.500 1
```

---

Entry 5:
This record from Alexandria via LeMat-Bulk describes a relaxed Na3Hg3Bi crystal. The functional is PBE.

Calculated values
Offset from the most stable computed form ... 442.9 meV per atom
Formation enthalpy at 0 K ... 0.18 eV/atom
N(E_F) ... 3.87 states/eV per cell

```
data_Na3Hg3Bi
_chemical_formula_sum 'Na6 Hg6 Bi2'
_cell_length_a 8.056
_cell_length_b 8.056
_cell_length_c 8.056
_cell_angle_alpha 90.00
_cell_angle_beta 90.00
_cell_angle_gamma 90.00
_symmetry_space_group_name_H-M 'P m -3 n'
_symmetry_Int_Tables_number 223
_symmetry_space_group_name_Hall '-P 4n 2 3'
loop_
_atom_site_label
_atom_site_fract_x
_atom_site_fract_y
_atom_site_fract_z
_atom_site_occupancy
Na1 0.000 0.250 0.500 1
Hg1 0.000 0.500 0.250 1
Bi1 0.000 0.000 0.000 1
```

---

Entry 6:
This record from Alexandria via LeMat-Bulk describes a relaxed Gd2HfSn crystal. The functional is PBE.

Calculated values
Formation enthalpy at 0 K ... -0.27 eV/atom
N(E_F) ... 4.53 states/eV per cell

```
data_Gd2HfSn
_chemical_formula_sum 'Gd2 Hf1 Sn1'
_cell_length_a 4.675
_cell_length_b 4.675
_cell_length_c 4.723
_cell_angle_alpha 90.00
_cell_angle_beta 90.00
_cell_angle_gamma 90.00
_symmetry_space_group_name_H-M 'P 4/m m m'
_symmetry_Int_Tables_number 123
_symmetry_space_group_name_Hall '-P 4 2'
loop_
_atom_site_label
_atom_site_fract_x
_atom_site_fract_y
_atom_site_fract_z
_atom_site_occupancy
Gd1 0.000 0.500 0.000 1
Hf1 0.000 0.000 0.500 1
Sn1 0.500 0.500 0.500 1
```

---

Entry 7:
This record from Alexandria via LeMat-Bulk describes a relaxed PmTl2As2Pd7 crystal. The functional is PBE.

Calculated values
Formation enthalpy at 0 K ... -0.41 eV/atom
N(E_F) ... 8.88 states/eV per cell

```
data_PmTl2As2Pd7
_chemical_formula_sum 'Pm2 Tl4 As4 Pd14'
_cell_length_a 5.782
_cell_length_b 5.774
_cell_length_c 14.677
_cell_angle_alpha 90.00
_cell_angle_beta 96.66
_cell_angle_gamma 90.00
_symmetry_space_group_name_H-M 'C 1 2/m 1'
_symmetry_Int_Tables_number 12
loop_
_symmetry_equiv_pos_as_xyz
'x,y,z'
'-x,-y,-z'
'-x,y,-z'
'x,-y,z'
'x+1/2,y+1/2,z'
'-x+1/2,-y+1/2,-z'
'-x+1/2,y+1/2,-z'
'x+1/2,-y+1/2,z'
loop_
_atom_site_label
_atom_site_fract_x
_atom_site_fract_y
_atom_site_fract_z
_atom_site_occupancy
Pm1 0.000 0.000 0.000 1
Tl1 0.104 0.000 0.400 1
As1 0.076 0.500 0.248 1
Pd1 0.000 0.500 0.000 1
Pd2 0.101 0.500 0.416 1
Pd3 0.204 0.251 0.849 1
```

---

Entry 8:
This record from Alexandria via LeMat-Bulk describes a relaxed TaCuSO crystal. The functional is PBE.

Calculated values
N(E_F) ... 2.57 states/eV per cell
Formation energy without anion corrections ... -0.872 eV/atom

```
data_TaCuSO
_chemical_formula_sum 'Ta2 Cu2 S2 O2'
_cell_length_a 3.314
_cell_length_b 3.314
_cell_length_c 9.949
_cell_angle_alpha 90.00
_cell_angle_beta 90.00
_cell_angle_gamma 90.00
_symmetry_space_group_name_H-M 'P 4/n m m'
_symmetry_Int_Tables_number 129
loop_
_symmetry_equiv_pos_as_xyz
'x,y,z'
'-x,-y,-z'
'-y+1/2,x,z'
'y+1/2,-x,-z'
'-x+1/2,-y+1/2,z'
'x+1/2,y+1/2,-z'
'y,-x+1/2,z'
'-y,x+1/2,-z'
'x+1/2,-y,-z'
'-x+1/2,y,z'
'-y,-x,-z'
'y,x,z'
'-x,y+1/2,-z'
'x,-y+1/2,z'
'y+1/2,x+1/2,-z'
'-y+1/2,-x+1/2,z'
loop_
_atom_site_label
_atom_site_fract_x
_atom_site_fract_y
_atom_site_fract_z
_atom_site_occupancy
Ta1 0.250 0.250 0.136 1
Cu1 0.250 0.750 0.500 1
S1 0.250 0.250 0.745 1
O1 0.250 0.750 0.000 1
```

---

Entry 9:
This record from Alexandria via LeMat-Bulk describes a relaxed KCaMn2 crystal. The functional is PBE.

Calculated values
Offset from the most stable computed form ... 283.2 meV per atom
Formation enthalpy at 0 K ... 0.93 eV/atom
N(E_F) ... 7.68 states/eV per cell

```
data_KCaMn2
_chemical_formula_sum 'K2 Ca2 Mn4'
_cell_length_a 5.331
_cell_length_b 5.331
_cell_length_c 7.673
_cell_angle_alpha 90.00
_cell_angle_beta 90.00
_cell_angle_gamma 90.00
_symmetry_space_group_name_H-M 'I -4 m 2'
_symmetry_Int_Tables_number 119
_symmetry_space_group_name_Hall 'I -4 -2'
loop_
_atom_site_label
_atom_site_fract_x
_atom_site_fract_y
_atom_site_fract_z
_atom_site_occupancy
K1 0.000 0.000 0.000 1
Ca1 0.000 0.500 0.250 1
Mn1 0.000 0.000 0.500 1
Mn2 0.000 0.500 0.750 1
```

---

Entry 10:
This record from Alexandria via LeMat-Bulk describes a relaxed PmSm3HoTh crystal. The functional is PBE.

Calculated values
Formation enthalpy at 0 K ... 0.21 eV/atom
N(E_F) ... 32.09 states/eV per cell

```
data_PmSm3HoTh
_chemical_formula_sum 'Pm4 Sm12 Ho4 Th4'
_cell_length_a 20.412
_cell_length_b 5.699
_cell_length_c 6.930
_cell_angle_alpha 90.00
_cell_angle_beta 91.74
_cell_angle_gamma 90.00
_symmetry_space_group_name_H-M 'C 1 2/m 1'
_symmetry_Int_Tables_number 12
loop_
_symmetry_equiv_pos_as_xyz
'x,y,z'
'-x,-y,-z'
'-x,y,-z'
'x,-y,z'
'x+1/2,y+1/2,z'
'-x+1/2,-y+1/2,-z'
'-x+1/2,y+1/2,-z'
'x+1/2,-y+1/2,z'
loop_
_atom_site_label
_atom_site_fract_x
_atom_site_fract_y
_atom_site_fract_z
_atom_site_occupancy
Pm1 0.145 0.000 0.459 1
Sm1 0.020 0.000 0.750 1
Sm2 0.159 0.500 0.755 1
Sm3 0.220 0.500 0.252 1
Ho1 0.149 0.000 0.022 1
Th1 0.058 0.500 0.214 1
```

---

Entry 11:
This record from Alexandria via LeMat-Bulk describes a relaxed Ba3Re crystal. The functional is PBE.

Calculated values
Offset from the most stable computed form ... 0.0 meV per atom
Formation enthalpy at 0 K ... 0.41 eV/atom
N(E_F) ... 23.95 states/eV per cell

```
data_Ba3Re
_chemical_formula_sum 'Ba12 Re4'
_cell_length_a 12.782
_cell_length_b 14.908
_cell_length_c 4.157
_cell_angle_alpha 90.00
_cell_angle_beta 90.00
_cell_angle_gamma 90.00
_symmetry_space_group_name_H-M 'C m c m'
_symmetry_Int_Tables_number 63
_symmetry_space_group_name_Hall '-C 2c 2'
loop_
_atom_site_label
_atom_site_fract_x
_atom_site_fract_y
_atom_site_fract_z
_atom_site_occupancy
Ba1 0.000 0.130 0.250 1
Ba2 0.184 0.379 0.250 1
Re1 0.000 0.458 0.750 1
```

---

Entry 12:
This record from Alexandria via LeMat-Bulk describes a relaxed CsIn2CoSn crystal. The functional is PBE.

Calculated values
Formation enthalpy at 0 K ... 0.05 eV/atom
N(E_F) ... 3.61 states/eV per cell

```
data_CsIn2CoSn
_chemical_formula_sum 'Cs1 In2 Co1 Sn1'
_cell_length_a 5.191
_cell_length_b 5.191
_cell_length_c 5.075
_cell_angle_alpha 90.00
_cell_angle_beta 90.00
_cell_angle_gamma 90.00
_symmetry_space_group_name_H-M 'P 4/m m m'
_symmetry_Int_Tables_number 123
_symmetry_space_group_name_Hall '-P 4 2'
loop_
_atom_site_label
_atom_site_fract_x
_atom_site_fract_y
_atom_site_fract_z
_atom_site_occupancy
Cs1 0.000 0.000 0.000 1
In1 0.000 0.500 0.500 1
Co1 0.500 0.500 0.500 1
Sn1 0.500 0.500 0.000 1
```

---

Entry 13:
This record from Alexandria via LeMat-Bulk describes a relaxed SiRuW4 crystal. The functional is PBE.

Calculated values
N(E_F) ... 17.83 states/eV per cell
Formation energy without anion corrections ... 0.703 eV/atom

```
data_SiRuW4
_chemical_formula_sum 'Si4 Ru4 W16'
_cell_length_a 7.366
_cell_length_b 7.366
_cell_length_c 7.366
_cell_angle_alpha 90.00
_cell_angle_beta 90.00
_cell_angle_gamma 90.00
_symmetry_space_group_name_H-M 'F -4 3 m'
_symmetry_Int_Tables_number 216
_symmetry_space_group_name_Hall 'F -4 2 3'
loop_
_atom_site_label
_atom_site_fract_x
_atom_site_fract_y
_atom_site_fract_z
_atom_site_occupancy
Si1 0.000 0.000 0.000 1
Ru1 0.250 0.250 0.250 1
W1 0.126 0.126 0.626 1
```